The following is a PBE calculation of crystalline MnMo at its relaxed geometry, from Alexandria via LeMat-Bulk.

Cell: 2.694 2.694 8.691 Å, 90.00 90.00 120.00°
Sites, in units of the cell vectors:
Mn  0.333  0.667  0.399
Mn  0.667  0.333  0.601
Mo  0.333  0.667  0.856
Mo  0.667  0.333  0.144

## Properties
**DFT total energy**: -9.656 eV/atom
**Crystal system**: trigonal
**DFT formation energy**: 0.34 eV/atom
**DOS(E_F)**: 6.00 states/eV/cell

***

The following is a PBE calculation of crystalline Mn2Mo at its relaxed geometry, from Alexandria via LeMat-Bulk.

Cell: 4.252 4.252 4.924 Å, 90.00 90.00 120.00°
Sites, in units of the cell vectors:
Mn  0.000  0.000  0.000
Mn  0.000  0.000  0.500
Mn  0.333  0.667  0.250
Mn  0.667  0.333  0.750
Mo  0.333  0.667  0.750
Mo  0.667  0.333  0.250

## Properties
**DFT total energy**: -9.479 eV/atom
**Crystal system**: hexagonal
**DFT formation energy**: 0.24 eV/atom
**DOS(E_F)**: 6.47 states/eV/cell

***

The following is a PBE calculation of crystalline MnMo at its relaxed geometry, from Alexandria via LeMat-Bulk.

Cell: 2.654 2.654 4.115 Å, 90.00 90.00 108.06°
Sites, in units of the cell vectors:
Mn  0.000  0.000  0.000
Mo  0.500  0.500  0.500

## Properties
**DFT total energy**: -9.876 eV/atom
**Crystal system**: orthorhombic
**DFT formation energy**: 0.12 eV/atom
**DOS(E_F)**: 2.01 states/eV/cell

***

The following is a PBE calculation of crystalline Mn2Mo at its relaxed geometry, from Alexandria via LeMat-Bulk.

Cell: 6.310 6.310 4.075 Å, 90.00 90.00 151.59°
Sites, in units of the cell vectors:
Mn  0.083  0.917  0.750
Mn  0.252  0.748  0.250
Mn  0.748  0.252  0.750
Mn  0.917  0.083  0.250
Mo  0.411  0.589  0.750
Mo  0.589  0.411  0.250

## Properties
**DFT total energy**: -9.596 eV/atom
**Crystal system**: orthorhombic
**DFT formation energy**: 0.13 eV/atom
**DOS(E_F)**: 6.16 states/eV/cell

***

The following is a PBE calculation of crystalline MnMo at its relaxed geometry, from Alexandria via LeMat-Bulk.

Cell: 4.935 4.935 4.935 Å, 136.95 136.95 62.51°
Sites, in units of the cell vectors:
Mn  0.375  0.625  0.750
Mn  0.625  0.375  0.250
Mo  0.125  0.875  0.250
Mo  0.875  0.125  0.750

## Properties
**DFT total energy**: -9.746 eV/atom
**Crystal system**: tetragonal
**DFT formation energy**: 0.25 eV/atom
**DOS(E_F)**: 3.88 states/eV/cell

***

The following is a PBE calculation of crystalline MnMo4 at its relaxed geometry, from Alexandria via LeMat-Bulk.

Cell: 4.833 4.833 4.833 Å, 109.47 109.47 109.47°
Sites, in units of the cell vectors:
Mn  0.000  0.000  0.000
Mo  0.000  0.000  0.500
Mo  0.000  0.500  0.000
Mo  0.500  0.000  0.000
Mo  0.500  0.500  0.500

## Properties
**DFT total energy**: -9.435 eV/atom
**Crystal system**: cubic
**Distance to the lowest polymorph of the same formula**: 0 meV/atom
**DFT formation energy**: 1.06 eV/atom
**DOS(E_F)**: 3.42 states/eV/cell

***

The following is a PBE calculation of crystalline MnMo7 at its relaxed geometry, from Alexandria via LeMat-Bulk.

Cell: 5.620 5.620 5.620 Å, 60.00 60.00 60.00°
Sites, in units of the cell vectors:
Mn  0.000  0.000  0.000
Mo  0.000  0.000  0.500
Mo  0.000  0.500  0.000
Mo  0.000  0.500  0.500
Mo  0.500  0.000  0.000
Mo  0.500  0.000  0.500
Mo  0.500  0.500  0.000
Mo  0.500  0.500  0.500

## Properties
**DFT total energy**: -10.258 eV/atom
**Crystal system**: cubic
**Distance to the lowest polymorph of the same formula**: 319 meV/atom
**DFT formation energy**: 0.37 eV/atom
**DOS(E_F)**: 12.47 states/eV/cell

***

The following is a PBE calculation of crystalline MnMo5 at its relaxed geometry, from Alexandria via LeMat-Bulk.

Cell: 6.960 6.960 3.155 Å, 90.00 90.00 143.04°
Sites, in units of the cell vectors:
Mn  0.000  0.000  0.000
Mo  0.165  0.835  0.500
Mo  0.336  0.664  0.000
Mo  0.500  0.500  0.500
Mo  0.664  0.336  0.000
Mo  0.835  0.165  0.500

## Properties
**DFT total energy**: -10.494 eV/atom
**Crystal system**: orthorhombic
**Distance to the lowest polymorph of the same formula**: 0 meV/atom
**DFT formation energy**: 0.06 eV/atom
**DOS(E_F)**: 5.64 states/eV/cell

***

The following is a PBE calculation of crystalline Mn2Mo at its relaxed geometry, from Alexandria via LeMat-Bulk.

Cell: 5.943 5.943 4.210 Å, 90.00 90.00 120.00°
Sites, in units of the cell vectors:
Mn  0.000  0.239  0.000
Mn  0.000  0.548  0.500
Mn  0.239  0.000  0.000
Mn  0.452  0.452  0.500
Mn  0.548  0.000  0.500
Mn  0.761  0.761  0.000
Mo  0.000  0.000  0.500
Mo  0.333  0.667  0.000
Mo  0.667  0.333  0.000

## Properties
**DFT total energy**: -9.188 eV/atom
**Crystal system**: hexagonal
**DFT formation energy**: 0.54 eV/atom
**DOS(E_F)**: 13.40 states/eV/cell

***

The following is a PBE calculation of crystalline MnMo at its relaxed geometry, from Alexandria via LeMat-Bulk.

Cell: 5.633 5.633 5.633 Å, 97.39 97.39 137.96°
Sites, in units of the cell vectors:
Mn  0.148  0.165  0.313
Mn  0.165  0.852  0.018
Mn  0.835  0.148  0.982
Mn  0.852  0.835  0.687
Mo  0.204  0.504  0.708
Mo  0.496  0.204  0.700
Mo  0.504  0.796  0.300
Mo  0.796  0.496  0.292

## Properties
**DFT total energy**: -9.634 eV/atom
**Crystal system**: tetragonal
**DFT formation energy**: 0.37 eV/atom
**DOS(E_F)**: 7.43 states/eV/cell

***

The following is a PBE calculation of crystalline Mn2Mo at its relaxed geometry, from Alexandria via LeMat-Bulk.

Cell: 4.724 4.724 4.724 Å, 60.00 60.00 60.00°
Sites, in units of the cell vectors:
Mn  0.000  0.000  0.000
Mn  0.000  0.000  0.500
Mn  0.000  0.500  0.000
Mn  0.500  0.000  0.000
Mo  0.375  0.375  0.375
Mo  0.625  0.625  0.625

## Properties
**DFT total energy**: -9.766 eV/atom
**Crystal system**: cubic
**DFT formation energy**: -0.04 eV/atom
**DOS(E_F)**: 9.34 states/eV/cell

***

The following is a PBE calculation of crystalline MnMo at its relaxed geometry, from Alexandria via LeMat-Bulk.

Cell: 2.707 2.707 8.885 Å, 90.00 90.00 120.00°
Sites, in units of the cell vectors:
Mn  0.333  0.667  0.000
Mn  0.667  0.333  0.500
Mo  0.333  0.667  0.263
Mo  0.667  0.333  0.763

## Properties
**DFT total energy**: -9.313 eV/atom
**Crystal system**: hexagonal
**DFT formation energy**: 0.69 eV/atom
**DOS(E_F)**: 4.88 states/eV/cell

***

The highest DFT total energy belongs to which entry?
number 9

***

Which formula does entry 4 have?
Mn2Mo

***

Look up the DOS(E_F) of the sixth one.
3.42 states/eV/cell

***

Which of these has the lowest DFT total energy?
MnMo5